No. 1
{
  "formula": "NbPdN",
  "functional": "PBE-GGA",
  "state": "relaxed",
  "cell": [[6.0063, 0.0000, 0.0000], [0.0000, 8.7783, 0.0000], [0.0000, 0.0000, 3.0259]],
  "species": ["Nb", "Nb", "Nb", "Nb", "Pd", "Pd", "Pd", "Pd", "N", "N", "N", "N"],
  "frac_coords": [[0.5000, 0.7277, 0.0000], [0.5000, 0.2723, 0.0000], [0.0000, 0.7723, 0.0000], [0.0000, 0.2277, 0.0000], [0.7434, 0.0000, 0.5000], [0.7566, 0.5000, 0.5000], [0.2434, 0.5000, 0.5000], [0.2566, 0.0000, 0.5000], [0.7500, 0.7500, 0.5000], [0.2500, 0.7500, 0.5000], [0.7500, 0.2500, 0.5000], [0.2500, 0.2500, 0.5000]],
  "energy_ev_per_atom": -8.4322,
  "dos_at_fermi_per_ev_atom": 0.526,
  "e_form_raw_mev_per_atom": -570,
  "e_above_lowest_polymorph_mev_per_atom": 12,
  "rho_g_cm3": 8.88
}

No. 2
{
  "formula": "NbPd2N",
  "functional": "PBE-GGA",
  "state": "relaxed",
  "cell": [[-0.6604, -1.6405, 3.9815], [-3.6431, -2.2284, 0.8611], [0.1799, -4.3056, 0.6393]],
  "species": ["N", "Nb", "Pd", "Pd"],
  "frac_coords": [[0.0000, 0.0000, 0.0000], [0.5000, 0.5000, 0.5000], [0.2500, 0.2500, 0.2500], [0.7500, 0.7500, 0.7500]],
  "energy_ev_per_atom": -6.2741,
  "dos_at_fermi_per_ev_atom": 1.463,
  "e_form_raw_mev_per_atom": 921,
  "e_above_lowest_polymorph_mev_per_atom": 695,
  "rho_g_cm3": 9.08
}

No. 3
{
  "formula": "Nb3Pd2N",
  "functional": "PBE-GGA",
  "state": "relaxed",
  "cell": [[-0.5733, 5.3971, -4.5416], [-3.0792, -4.2910, -4.7105], [-6.3461, 1.5945, 2.6959]],
  "species": ["Nb", "Nb", "Nb", "Nb", "Nb", "Nb", "Nb", "Nb", "Nb", "Nb", "Nb", "Nb", "Pd", "Pd", "Pd", "Pd", "Pd", "Pd", "Pd", "Pd", "N", "N", "N", "N"],
  "frac_coords": [[0.6250, 0.2928, 0.5428], [0.2072, 0.4572, 0.1250], [0.3750, 0.7928, 0.9572], [0.4572, 0.1250, 0.2072], [0.5428, 0.6250, 0.2928], [0.7928, 0.9572, 0.3750], [0.9572, 0.3750, 0.7928], [0.0428, 0.8750, 0.7072], [0.7072, 0.0428, 0.8750], [0.8750, 0.7072, 0.0428], [0.1250, 0.2072, 0.4572], [0.2928, 0.5428, 0.6250], [0.9353, 0.5647, 0.4353], [0.1853, 0.8147, 0.3147], [0.6853, 0.6853, 0.6853], [0.8147, 0.3147, 0.1853], [0.0647, 0.0647, 0.0647], [0.4353, 0.9353, 0.5647], [0.3147, 0.1853, 0.8147], [0.5647, 0.4353, 0.9353], [0.3750, 0.3750, 0.3750], [0.1250, 0.6250, 0.8750], [0.8750, 0.1250, 0.6250], [0.6250, 0.8750, 0.1250]],
  "energy_ev_per_atom": -8.7528,
  "dos_at_fermi_per_ev_atom": 0.850,
  "e_form_raw_mev_per_atom": -599,
  "rho_g_cm3": 9.47
}

No. 4
{
  "formula": "NbPdN3",
  "functional": "PBE-GGA",
  "state": "relaxed",
  "cell": [[4.0600, 0.0000, 0.0000], [0.0000, 4.0600, 0.0000], [0.0000, 0.0000, 4.0600]],
  "species": ["Pd", "N", "N", "N", "Nb"],
  "frac_coords": [[0.5000, 0.5000, 0.5000], [0.0000, 0.0000, 0.5000], [0.0000, 0.5000, 0.0000], [0.5000, 0.0000, 0.0000], [0.0000, 0.0000, 0.0000]],
  "energy_ev_per_atom": -7.0900,
  "dos_at_fermi_per_ev_atom": 1.182,
  "e_form_raw_mev_per_atom": 958,
  "rho_g_cm3": 5.99
}

No. 5
{
  "formula": "Nb3PdN",
  "functional": "PBE-GGA",
  "state": "relaxed",
  "cell": [[-2.1636, -0.6950, 2.2148], [-0.9115, -3.6439, -4.3082], [5.5308, -5.6685, 3.6243]],
  "species": ["Nb", "Nb", "Nb", "Nb", "Nb", "Nb", "N", "N", "Pd", "Pd"],
  "frac_coords": [[0.3717, 0.7427, 0.9599], [0.6283, 0.2573, 0.4599], [0.6283, 0.2573, 0.0401], [0.9656, 0.9305, 0.2500], [0.3717, 0.7427, 0.5401], [0.0344, 0.0695, 0.7500], [0.0000, 0.0000, 0.0000], [0.0000, 0.0000, 0.5000], [0.7494, 0.4974, 0.7500], [0.2506, 0.5026, 0.2500]],
  "energy_ev_per_atom": -9.3268,
  "dos_at_fermi_per_ev_atom": 0.828,
  "e_form_raw_mev_per_atom": -581,
  "rho_g_cm3": 8.73
}

No. 6
{
  "formula": "NbPdN",
  "functional": "PBE-GGA",
  "state": "relaxed",
  "cell": [[-1.4240, -1.0934, 2.3601], [-1.3506, -5.0490, -1.2938], [3.9271, -3.2956, 2.6956]],
  "species": ["Pd", "Pd", "Nb", "Nb", "N", "N"],
  "frac_coords": [[0.5814, 0.1365, 0.6440], [0.2476, 0.6423, 0.8121], [0.9646, 0.6194, 0.4004], [0.8751, 0.1305, 0.0649], [0.1994, 0.3755, 0.1708], [0.4283, 0.8632, 0.2281]],
  "energy_ev_per_atom": -8.3365,
  "dos_at_fermi_per_ev_atom": 0.449,
  "e_form_raw_mev_per_atom": -474,
  "e_above_lowest_polymorph_mev_per_atom": 108,
  "rho_g_cm3": 8.40
}